# 1
Computed, not measured: a relaxed structure of Mn2Ni7Sb2Pt at the PBE level of DFT.

```
Mn2Ni7Sb2Pt
1.0
3.5129 -0.0023 0.0105
0.0020 3.5129 0.0105
1.7138 1.7117 14.0132
Mn Ni Sb Pt
2 7 2 1
direct
0.6296 0.6296 0.7404
0.3704 0.3704 0.2596
0.5000 0.5000 0.0000
0.2743 0.2743 0.4510
0.7257 0.7257 0.5490
0.9326 0.4326 0.1357
0.4326 0.9326 0.1357
0.5674 0.0674 0.8643
0.0674 0.5674 0.8643
0.8153 0.8153 0.3690
0.1847 0.1847 0.6310
0.0000 0.0000 0.0000
```

Computed properties:
Symmetry: I4/mmm, No. 139
Energy in eV per formula unit: -72.1
M_tot in μB/cell: 9.92
Formation energy without anion corrections in eV/f.u.: 1.02

---

# 2
Computed, not measured: a relaxed structure of MnSiNi2Pt at the PBE level of DFT.

```
MnSiNi2Pt
1.0
-0.0428 -3.3460 2.4436
1.8728 -2.3607 -3.1998
3.7483 1.0100 1.4487
Ni Si Mn Pt
2 1 1 1
direct
0.0000 0.0000 0.5000
0.5000 0.0000 0.0000
0.0000 0.0000 0.0000
0.0000 0.5000 0.0000
0.5000 0.5000 0.5000
```

Computed properties:
Symmetry: P4/mmm, No. 123
Energy in eV per formula unit: -29.9
M_tot in μB/cell: 3.82
Formation energy without anion corrections in eV/f.u.: 2.31

---

# 3
Computed, not measured: a relaxed structure of MnSi3Ni4Pt12 at the PBE level of DFT.

```
MnSi3Ni4Pt12
1.0
-2.7423 7.0039 1.7344
2.1009 -3.6193 6.4862
6.1218 0.7121 -4.6476
Mn Si Ni Pt
1 3 4 12
direct
0.0000 0.0000 0.0000
0.0000 0.5000 0.5000
0.5000 0.5000 0.0000
0.5000 0.0000 0.5000
0.5000 0.0000 0.0000
0.5000 0.5000 0.5000
0.0000 0.5000 0.0000
0.0000 0.0000 0.5000
0.2817 0.8519 0.1337
0.7183 0.1481 0.8663
0.7183 0.8519 0.5702
0.8663 0.7183 0.1481
0.8519 0.1337 0.2817
0.1481 0.4298 0.2817
0.4298 0.2817 0.1481
0.1481 0.8663 0.7183
0.2817 0.1481 0.4298
0.1337 0.2817 0.8519
0.8519 0.5702 0.7183
0.5702 0.7183 0.8519
```

Computed properties:
Symmetry: Im-3, No. 204
Energy in eV per formula unit: -118.1
M_tot in μB/cell: 8.26
Formation energy without anion corrections in eV/f.u.: 2.95